Entry 1:
A relaxed structure of YAgTe3Pb, computed with PBE.

Unit cell a=11.323 b=4.360 c=14.709 alpha=90.00 beta=90.00 gamma=90.00
Fractional positions:
Ag1 0.740 0.250 0.221
Ag2 0.240 0.250 0.279
Ag3 0.760 0.750 0.721
Ag4 0.260 0.750 0.779
Pb1 0.725 0.750 0.017
Pb2 0.225 0.750 0.483
Pb3 0.775 0.250 0.517
Pb4 0.275 0.250 0.983
Te1 0.928 0.250 0.100
Te2 0.537 0.250 0.109
Te3 0.235 0.750 0.156
Te4 0.735 0.750 0.344
Te5 0.037 0.250 0.391
Te6 0.428 0.250 0.400
Te7 0.572 0.750 0.600
Te8 0.963 0.750 0.609
Te9 0.265 0.250 0.656
Te10 0.765 0.250 0.844
Te11 0.463 0.750 0.891
Te12 0.072 0.750 0.900
Y1 0.982 0.750 0.244
Y2 0.482 0.750 0.256
Y3 0.518 0.250 0.744
Y4 0.018 0.250 0.756

Values from the calculation:
* total magnetization: 0.02 Bohr magnetons per cell
* energy above the most stable polymorph in this dataset: 8 meV per atom
* calculated density: 7.197 g cm⁻³
* space-group type: Pnma
* total DFT energy (no corrections): -4.468 eV per atom


Entry 2:
A relaxed structure of Li4TaGeO6, computed with PBE.

Unit cell a=5.170 b=5.170 c=5.062 alpha=99.89 beta=99.89 gamma=119.91
Fractional positions:
Ge1 0.168 0.832 0.000
Li1 0.500 0.500 0.000
Li2 0.654 0.346 0.500
Li3 0.338 0.662 0.500
Li4 0.009 0.991 0.500
O1 0.577 0.928 0.232
O2 0.928 0.579 0.233
O3 0.229 0.229 0.237
O4 0.771 0.771 0.763
O5 0.421 0.072 0.767
O6 0.072 0.423 0.768
Ta1 0.833 0.167 0.000

Values from the calculation:
* total magnetization: 0.80 Bohr magnetons per cell
* calculated density: 5.689 g cm⁻³
* space-group type: C2
* total DFT energy (no corrections): -6.593 eV per atom


Entry 3:
A relaxed structure of TmBSb, computed with PBE.

Unit cell a=4.697 b=4.697 c=4.697 alpha=60.00 beta=60.00 gamma=60.00
Fractional positions:
B1 0.250 0.250 0.250
Sb1 0.750 0.750 0.750
Tm1 0.000 0.000 0.000

Values from the calculation:
* total magnetization: 0.00 Bohr magnetons per cell
* energy above the most stable polymorph in this dataset: 407 meV per atom
* calculated density: 6.831 g cm⁻³
* space-group type: F-43m
* total DFT energy (no corrections): -4.411 eV per atom


Entry 4:
A relaxed structure of LiCoTcAu, computed with PBE.

Unit cell a=4.191 b=4.191 c=4.191 alpha=60.00 beta=60.00 gamma=60.00
Fractional positions:
Au1 0.750 0.750 0.750
Co1 0.000 0.000 0.000
Li1 0.500 0.500 0.500
Tc1 0.250 0.250 0.250

Values from the calculation:
* total magnetization: 0.00 Bohr magnetons per cell
* energy above the most stable polymorph in this dataset: 0 meV per atom
* calculated density: 11.511 g cm⁻³
* space-group type: F-43m
* total DFT energy (no corrections): -5.489 eV per atom


Question: Among the records above, which one has the lowest total DFT energy (no corrections)?
Answer: Li4TaGeO6


Question: Which formula does entry 1 have?
Answer: YAgTe3Pb


Copy entry 4 word for word.
A relaxed structure of LiCoTcAu, computed with PBE.

Unit cell a=4.191 b=4.191 c=4.191 alpha=60.00 beta=60.00 gamma=60.00
Fractional positions:
Au1 0.750 0.750 0.750
Co1 0.000 0.000 0.000
Li1 0.500 0.500 0.500
Tc1 0.250 0.250 0.250

Values from the calculation:
* total magnetization: 0.00 Bohr magnetons per cell
* energy above the most stable polymorph in this dataset: 0 meV per atom
* calculated density: 11.511 g cm⁻³
* space-group type: F-43m
* total DFT energy (no corrections): -5.489 eV per atom


Question: What is the formula in the first record?
Answer: YAgTe3Pb